Entry 1:
The following is a DFT calculation (PBE) of HgPbSCl2 after structural relaxation. Values from VASP.

Cell and atoms, written as Quantum ESPRESSO input:
```
&SYSTEM
  ibrav = 0, nat = 5, ntyp = 4
/
ATOMIC_SPECIES
Pb 207.20 Pb.upf
S 32.06 S.upf
Hg 200.59 Hg.upf
Cl 35.45 Cl.upf
CELL_PARAMETERS angstrom
-1.308 -4.884 0.837
4.090 -0.575 3.035
-2.820 1.454 4.075
ATOMIC_POSITIONS angstrom
Pb -0.019 -2.003 3.974
S -1.410 0.727 2.038
Hg 0.000 0.000 0.000
Cl 2.045 -0.288 1.518
Cl -0.654 -2.442 0.419
```

Output
energy relative to the elements, uncorrected	-0.208	eV per atom
excess energy over the best structure of this formula in the dataset	0.000	eV/atom

***

Entry 2:
The following is a DFT calculation (PBE) of TiFe2HIr after structural relaxation. Values from VASP.

Cell and atoms, written as Quantum ESPRESSO input:
```
&SYSTEM
  ibrav = 0, nat = 5, ntyp = 4
/
ATOMIC_SPECIES
H 1.01 H.upf
Ir 192.22 Ir.upf
Fe 55.84 Fe.upf
Ti 47.87 Ti.upf
CELL_PARAMETERS angstrom
3.695 0.000 0.000
0.000 3.695 0.000
0.000 0.000 3.972
ATOMIC_POSITIONS angstrom
H 0.000 0.000 0.000
Ir 1.847 1.847 1.986
Fe 0.000 1.847 0.000
Fe 1.847 0.000 0.000
Ti 0.000 0.000 1.986
```

Output
excess energy over the best structure of this formula in the dataset	0.000	eV/atom

***

Entry 3:
The following is a DFT calculation (PBE) of Si3W after structural relaxation. Values from VASP.

Cell and atoms, written as Quantum ESPRESSO input:
```
&SYSTEM
  ibrav = 0, nat = 16, ntyp = 2
/
ATOMIC_SPECIES
Si 28.09 Si.upf
W 183.84 W.upf
CELL_PARAMETERS angstrom
-2.836 3.499 -2.437
-4.925 -2.674 1.892
0.027 4.545 6.493
ATOMIC_POSITIONS angstrom
Si -5.102 1.212 6.429
Si -4.334 1.883 1.118
Si -3.400 3.486 4.830
Si -2.632 4.158 -0.481
Si -2.635 6.364 5.151
Si -2.099 -0.320 0.313
Si -5.648 3.493 2.496
Si -5.086 1.204 3.936
Si -5.099 -0.994 0.797
Si -5.635 5.690 5.635
Si -2.086 1.877 3.452
Si -2.648 4.166 2.012
W -5.996 3.320 4.957
W -3.524 -0.122 2.519
W -4.210 5.492 3.430
W -1.738 2.050 0.991
```

Output
energy relative to the elements, uncorrected	-0.005	eV per atom
excess energy over the best structure of this formula in the dataset	0.000	eV/atom

***

Entry 4:
The following is a DFT calculation (PBE) of TlVGa2Os after structural relaxation. Values from VASP.

Cell and atoms, written as Quantum ESPRESSO input:
```
&SYSTEM
  ibrav = 0, nat = 5, ntyp = 4
/
ATOMIC_SPECIES
Tl 204.38 Tl.upf
Os 190.23 Os.upf
Ga 69.72 Ga.upf
V 50.94 V.upf
CELL_PARAMETERS angstrom
-0.785 -4.792 0.171
0.648 0.063 4.747
-4.750 0.801 0.637
ATOMIC_POSITIONS angstrom
Tl -2.444 -1.964 2.778
Os 0.000 0.000 0.000
Ga -2.375 0.401 0.319
Ga -0.393 -2.396 0.086
V 0.324 0.032 2.373
```

Output
formation enthalpy at 0 K	0.449	eV/atom

***

Entry 5:
The following is a DFT calculation (PBE) of CaZnCdAg3 after structural relaxation. Values from VASP.

Cell and atoms, written as Quantum ESPRESSO input:
```
&SYSTEM
  ibrav = 0, nat = 12, ntyp = 4
/
ATOMIC_SPECIES
Ca 40.08 Ca.upf
Zn 65.41 Zn.upf
Cd 112.41 Cd.upf
Ag 107.87 Ag.upf
CELL_PARAMETERS angstrom
5.949 0.000 0.000
0.000 5.835 0.000
0.000 -2.918 7.312
ATOMIC_POSITIONS angstrom
Ca 4.462 0.000 4.483
Ca 1.487 2.918 2.829
Zn 1.487 2.918 5.715
Zn 4.462 0.000 1.596
Cd 1.487 0.000 5.066
Cd 4.462 2.918 2.246
Ag 1.487 0.000 2.137
Ag 0.000 1.523 0.000
Ag 2.975 4.312 0.000
Ag 2.975 1.523 0.000
Ag 0.000 4.312 0.000
Ag 4.462 2.918 5.175
```

Output
formation enthalpy at 0 K	-0.075	eV/atom

***

Entry 6:
The following is a DFT calculation (PBE) of TbPr6Er2Sc after structural relaxation. Values from VASP.

Cell and atoms, written as Quantum ESPRESSO input:
```
&SYSTEM
  ibrav = 0, nat = 20, ntyp = 4
/
ATOMIC_SPECIES
Tb 158.93 Tb.upf
Pr 140.91 Pr.upf
Er 167.26 Er.upf
Sc 44.96 Sc.upf
CELL_PARAMETERS angstrom
9.035 -1.991 -2.066
0.883 8.707 -2.018
0.883 -2.339 8.627
ATOMIC_POSITIONS angstrom
Tb 3.141 7.905 -2.240
Tb 7.659 -3.527 6.783
Pr 1.250 -0.880 6.285
Pr 5.032 -0.940 6.222
Pr 9.550 5.258 -1.742
Pr 5.767 5.318 -1.679
Pr 3.158 -1.548 3.166
Pr 3.125 2.152 7.006
Pr 7.642 5.926 1.378
Pr 7.675 2.226 -2.463
Pr 2.069 4.799 2.519
Pr 4.214 3.034 0.687
Pr 8.731 -0.421 2.025
Pr 6.586 1.344 3.857
Er 5.391 4.386 3.511
Er 0.892 2.028 1.063
Er 5.409 -0.008 1.033
Er 9.908 2.350 3.480
Sc 3.141 1.812 3.631
Sc 7.659 2.566 0.913
```

Output
formation enthalpy at 0 K	0.127	eV/atom

***

Entry 7:
The following is a DFT calculation (PBE) of TlRuSe4 after structural relaxation. Values from VASP.

Cell and atoms, written as Quantum ESPRESSO input:
```
&SYSTEM
  ibrav = 0, nat = 6, ntyp = 3
/
ATOMIC_SPECIES
Tl 204.38 Tl.upf
Ru 101.07 Ru.upf
Se 78.96 Se.upf
CELL_PARAMETERS angstrom
4.078 1.055 3.974
0.640 5.341 2.144
-1.514 1.123 5.475
ATOMIC_POSITIONS angstrom
Tl 2.403 5.639 8.695
Ru 0.000 0.000 0.000
Se 3.255 3.343 6.339
Se 0.434 3.377 7.096
Se 1.521 5.505 5.416
Se 1.198 2.811 4.335
```

Output
energy relative to the elements, uncorrected	0.828	eV per atom
excess energy over the best structure of this formula in the dataset	0.980	eV/atom

***

Entry 8:
The following is a DFT calculation (PBE) of Zr4PSe after structural relaxation. Values from VASP.

Cell and atoms, written as Quantum ESPRESSO input:
```
&SYSTEM
  ibrav = 0, nat = 6, ntyp = 3
/
ATOMIC_SPECIES
Zr 91.22 Zr.upf
P 30.97 P.upf
Se 78.96 Se.upf
CELL_PARAMETERS angstrom
0.000 4.015 4.015
4.015 0.000 4.015
4.015 4.015 0.000
ATOMIC_POSITIONS angstrom
Zr 3.016 5.014 5.014
Zr 5.014 5.014 3.016
Zr 5.014 3.016 5.014
Zr 3.016 3.016 3.016
P 6.023 6.023 6.023
Se 0.000 0.000 0.000
```

Output
energy relative to the elements, uncorrected	0.227	eV per atom

***

Entry 9:
The following is a DFT calculation (PBE) of AcDyBeN3 after structural relaxation. Values from VASP.

Cell and atoms, written as Quantum ESPRESSO input:
```
&SYSTEM
  ibrav = 0, nat = 12, ntyp = 4
/
ATOMIC_SPECIES
Ac 227.00 Ac.upf
Dy 162.50 Dy.upf
Be 9.01 Be.upf
N 14.01 N.upf
CELL_PARAMETERS angstrom
3.451 0.000 0.000
0.000 7.351 1.006
0.000 -2.491 6.744
ATOMIC_POSITIONS angstrom
Ac 0.863 0.786 1.701
Ac 2.588 4.074 6.048
Dy 0.863 4.374 1.844
Dy 2.588 0.486 5.906
Be 0.863 -0.964 4.151
Be 2.588 5.824 3.599
N 2.588 6.097 1.919
N 0.863 -1.238 5.831
N 0.863 5.079 4.087
N 2.588 -0.219 3.663
N 2.588 2.718 1.517
N 0.863 2.142 6.232
```

Output
energy relative to the elements, uncorrected	-1.027	eV per atom

***

Entry 10:
The following is a DFT calculation (PBE) of Pr7Dy3Y2 after structural relaxation. Values from VASP.

Cell and atoms, written as Quantum ESPRESSO input:
```
&SYSTEM
  ibrav = 0, nat = 12, ntyp = 3
/
ATOMIC_SPECIES
Pr 140.91 Pr.upf
Dy 162.50 Dy.upf
Y 88.91 Y.upf
CELL_PARAMETERS angstrom
3.655 0.000 0.000
0.000 5.870 0.000
0.000 -2.935 19.364
ATOMIC_POSITIONS angstrom
Pr 0.000 0.000 15.752
Pr 0.000 2.935 10.364
Pr 0.000 0.000 0.000
Pr 0.000 2.935 3.612
Pr 1.827 0.000 2.812
Pr 1.827 2.935 16.552
Pr 0.000 0.000 9.000
Dy 1.827 2.935 0.000
Dy 1.827 2.935 7.150
Dy 1.827 0.000 12.214
Y 0.000 2.935 13.589
Y 0.000 0.000 5.775
```

Output
excess energy over the best structure of this formula in the dataset	0.047	eV/atom
formation enthalpy at 0 K	0.115	eV/atom

***

Entry 11:
The following is a DFT calculation (PBE) of CeTl4Pd15 after structural relaxation. Values from VASP.

Cell and atoms, written as Quantum ESPRESSO input:
```
&SYSTEM
  ibrav = 0, nat = 20, ntyp = 3
/
ATOMIC_SPECIES
Ce 140.12 Ce.upf
Tl 204.38 Tl.upf
Pd 106.42 Pd.upf
CELL_PARAMETERS angstrom
-0.985 2.449 3.152
1.613 -2.726 2.622
18.118 9.253 -1.525
ATOMIC_POSITIONS angstrom
Ce 0.000 0.000 0.000
Tl 3.695 1.887 -0.311
Tl 7.262 3.708 -0.611
Tl 10.856 5.544 -0.914
Tl 14.423 7.366 -1.214
Pd 0.314 -0.139 2.887
Pd 3.934 1.710 2.582
Pd 7.573 3.569 2.276
Pd 11.172 5.407 1.973
Pd 14.811 7.265 1.667
Pd 1.320 2.150 1.424
Pd 4.968 4.013 1.117
Pd 8.566 5.851 0.814
Pd 12.165 7.689 0.511
Pd 15.813 9.552 0.204
Pd 2.619 -0.438 1.158
Pd 6.267 1.425 0.851
Pd 9.865 3.263 0.549
Pd 13.464 5.101 0.246
Pd 17.112 6.964 -0.061
```

Output
formation enthalpy at 0 K	-0.328	eV/atom

***

Entry 12:
The following is a DFT calculation (PBE) of PmGeRu after structural relaxation. Values from VASP.

Cell and atoms, written as Quantum ESPRESSO input:
```
&SYSTEM
  ibrav = 0, nat = 6, ntyp = 3
/
ATOMIC_SPECIES
Pm 145.00 Pm.upf
Ge 72.64 Ge.upf
Ru 101.07 Ru.upf
CELL_PARAMETERS angstrom
4.311 0.000 0.000
0.000 4.311 0.000
0.000 0.000 6.824
ATOMIC_POSITIONS angstrom
Pm 0.000 2.156 5.545
Pm 2.156 0.000 1.279
Ge 0.000 2.156 2.075
Ge 2.156 0.000 4.748
Ru 2.156 2.156 3.412
Ru 0.000 0.000 3.412
```

Output
excess energy over the best structure of this formula in the dataset	0.000	eV/atom
formation enthalpy at 0 K	-0.680	eV/atom